! La2HgO (PBE, relaxed); values from VASP
&SYSTEM
  ibrav = 0, nat = 4, ntyp = 3
/
ATOMIC_SPECIES
La 138.91 La.upf
Hg 200.59 Hg.upf
O 16.00 O.upf
CELL_PARAMETERS angstrom
0.000 3.655 3.655
3.655 0.000 3.655
3.655 3.655 0.000
ATOMIC_POSITIONS angstrom
La 1.828 1.828 1.828
La 5.483 5.483 5.483
Hg 0.000 0.000 0.000
O 3.655 3.655 3.655
! E_tot: -4.44 eV/atom
! raw formation energy: -2.7 eV per formula unit
! space-group type: Fm-3m
! crystal system: cubic
! DOS(E_F): 6.0 states/eV/cell

! La3Hg5O12 (PBE, relaxed); values from VASP
&SYSTEM
  ibrav = 0, nat = 80, ntyp = 3
/
ATOMIC_SPECIES
La 138.91 La.upf
Hg 200.59 Hg.upf
O 16.00 O.upf
CELL_PARAMETERS angstrom
-6.858 6.858 6.858
6.858 -6.858 6.858
6.858 6.858 -6.858
ATOMIC_POSITIONS angstrom
La 3.429 1.715 0.000
La 6.858 3.429 -1.715
La 1.715 0.000 3.429
La 8.573 0.000 3.429
La 0.000 3.429 1.715
La 3.429 -1.715 6.858
La 3.429 8.573 0.000
La 6.858 3.429 5.144
La -1.715 6.858 3.429
La 5.144 6.858 3.429
La 0.000 3.429 8.573
La 3.429 5.144 6.858
Hg 0.000 0.000 0.000
Hg 3.429 3.429 -3.429
Hg 3.429 -3.429 3.429
Hg 6.858 0.000 0.000
Hg 10.287 1.715 0.000
Hg 6.858 -3.429 5.144
Hg 5.144 6.858 -3.429
Hg 5.144 0.000 3.429
Hg 3.429 5.144 0.000
Hg 6.858 3.429 1.715
Hg -3.429 3.429 3.429
Hg 0.000 6.858 0.000
Hg 0.000 0.000 6.858
Hg 3.429 3.429 3.429
Hg 0.000 3.429 5.144
Hg 3.429 1.715 6.858
Hg 1.715 6.858 3.429
Hg 1.715 0.000 10.287
Hg 0.000 10.287 1.715
Hg -3.429 5.144 6.858
O 2.060 -0.212 0.884
O 8.228 4.313 -3.641
O 8.918 0.212 0.884
O 8.228 -2.545 3.641
O 6.646 -0.884 2.060
O 10.499 -1.369 2.545
O 0.884 2.060 -0.212
O 9.403 3.217 -1.369
O 4.313 3.641 -1.369
O 5.974 2.060 0.212
O -0.212 0.884 2.060
O 3.641 -1.369 4.313
O 6.646 5.974 -2.060
O 3.641 1.369 2.545
O 4.313 -3.641 8.228
O 5.974 -2.060 6.646
O 2.545 3.641 1.369
O 7.742 4.799 0.212
O 3.641 8.228 -2.545
O 6.646 0.884 4.799
O 2.060 6.646 -0.884
O 8.228 2.545 3.217
O 1.369 2.545 3.641
O 2.060 0.212 5.974
O 4.799 6.646 0.884
O 5.489 4.313 3.217
O -1.369 4.313 3.641
O 4.799 0.212 7.742
O 0.212 5.974 2.060
O 3.217 -1.369 9.403
O -0.884 2.060 6.646
O 4.313 3.217 5.489
O 0.884 8.918 0.212
O 2.545 10.499 -1.369
O 3.217 5.489 4.313
O 0.212 0.884 8.918
O 3.217 8.228 2.545
O 7.070 5.974 4.799
O 0.884 4.799 6.646
O 2.545 3.217 8.228
O -2.545 3.641 8.228
O 5.974 4.799 7.070
O -3.641 8.228 4.313
O 0.212 7.742 4.799
O -1.369 9.403 3.217
O -2.060 6.646 5.974
O -1.369 2.545 10.499
O 4.799 7.070 5.974
! E_tot: -5.03 eV/atom
! raw formation energy: -24.9 eV per formula unit
! space-group type: Ia-3d
! crystal system: cubic
! DOS(E_F): 39.8 states/eV/cell

! La2HgO2 (PBE, relaxed); values from VASP
&SYSTEM
  ibrav = 0, nat = 5, ntyp = 3
/
ATOMIC_SPECIES
La 138.91 La.upf
Hg 200.59 Hg.upf
O 16.00 O.upf
CELL_PARAMETERS angstrom
-2.087 2.087 6.566
2.087 -2.087 6.566
2.087 2.087 -6.566
ATOMIC_POSITIONS angstrom
La 0.000 0.000 2.113
La 0.000 0.000 11.019
Hg 0.000 0.000 6.566
O 2.087 0.000 3.283
O 0.000 2.087 3.283
! E_tot: -6.50 eV/atom
! raw formation energy: -12.4 eV per formula unit
! space-group type: I4/mmm
! crystal system: tetragonal
! DOS(E_F): 2.6 states/eV/cell

Question: The highest raw formation energy belongs to which entry?
Answer: La2HgO